(1)
Computed, not measured: a relaxed ZnCdP2O crystal at the PBE level of DFT. Values from VASP.

The structure in Quantum ESPRESSO input format:
```
&SYSTEM
  ibrav = 0, nat = 5, ntyp = 4
/
ATOMIC_SPECIES
Zn 65.41 Zn.upf
Cd 112.41 Cd.upf
P 30.97 P.upf
O 16.00 O.upf
CELL_PARAMETERS angstrom
4.987 0.000 0.000
0.000 4.987 0.000
0.000 0.000 3.597
ATOMIC_POSITIONS crystal
Zn 0.000 0.000 0.000
Cd 0.500 0.500 0.500
P 0.000 0.500 0.000
P 0.500 0.000 0.000
O 0.000 0.000 0.500
```

Results
Fermi-level density of states: 4.97 states/eV/cell
Calculated density: 4.7 g/cm3
Formation energy from raw total energies: 0.453 eV/atom
Total magnetization: 0.00 μB/f.u.
Energy above the lowest structure with this stoichiometry: 0 meV/atom

(2)
Computed, not measured: a relaxed KBeW2 crystal at the PBE level of DFT. Values from VASP.

The structure in Quantum ESPRESSO input format:
```
&SYSTEM
  ibrav = 0, nat = 12, ntyp = 3
/
ATOMIC_SPECIES
K 39.10 K.upf
Be 9.01 Be.upf
W 183.84 W.upf
CELL_PARAMETERS angstrom
2.787 0.000 0.000
-1.394 2.414 0.000
0.000 0.000 31.414
ATOMIC_POSITIONS crystal
K 0.000 0.000 0.000
K 0.333 0.667 0.667
K 0.667 0.333 0.333
Be 0.000 0.000 0.500
Be 0.333 0.667 0.167
Be 0.667 0.333 0.833
W 0.000 0.000 0.233
W 0.000 0.000 0.767
W 0.333 0.667 0.434
W 0.333 0.667 0.899
W 0.667 0.333 0.101
W 0.667 0.333 0.566
```

Results
Fermi-level density of states: 11.71 states/eV/cell
ΔE_f: 1.052 eV/atom
Calculated density: 9.8 g/cm3
Total magnetization: 0.00 μB/f.u.

(3)
Computed, not measured: a relaxed Re2TcGeRu crystal at the PBE level of DFT. Values from VASP.

The structure in Quantum ESPRESSO input format:
```
&SYSTEM
  ibrav = 0, nat = 5, ntyp = 4
/
ATOMIC_SPECIES
Re 186.21 Re.upf
Tc 98.00 Tc.upf
Ge 72.64 Ge.upf
Ru 101.07 Ru.upf
CELL_PARAMETERS angstrom
4.687 0.000 0.000
0.000 4.687 0.000
0.000 0.000 4.650
ATOMIC_POSITIONS crystal
Re 0.000 0.500 0.000
Re 0.500 0.000 0.000
Tc 0.000 0.000 0.500
Ge 0.500 0.500 0.500
Ru 0.000 0.000 0.000
```

Results
Fermi-level density of states: 6.87 states/eV/cell
ΔE_f: 2.033 eV/atom
Calculated density: 10.5 g/cm3
Total magnetization: 1.37 μB/f.u.

(4)
Computed, not measured: a relaxed Dy8YSc4 crystal at the PBE level of DFT. Values from VASP.

The structure in Quantum ESPRESSO input format:
```
&SYSTEM
  ibrav = 0, nat = 13, ntyp = 3
/
ATOMIC_SPECIES
Dy 162.50 Dy.upf
Y 88.91 Y.upf
Sc 44.96 Sc.upf
CELL_PARAMETERS angstrom
3.513 2.028 9.042
-3.513 2.028 9.042
0.000 -4.057 9.042
ATOMIC_POSITIONS crystal
Dy 0.209 0.753 0.753
Dy 0.215 0.215 0.215
Dy 0.247 0.247 0.791
Dy 0.247 0.791 0.247
Dy 0.753 0.209 0.753
Dy 0.753 0.753 0.209
Dy 0.785 0.785 0.785
Dy 0.791 0.247 0.247
Y 0.500 0.500 0.500
Sc 0.000 0.000 0.000
Sc 0.000 0.500 0.500
Sc 0.500 0.000 0.500
Sc 0.500 0.500 0.000
```

Results
Fermi-level density of states: 16.34 states/eV/cell
ΔE_f: 0.262 eV/atom
Calculated density: 6.7 g/cm3
Total magnetization: 0.00 μB/f.u.

(5)
Computed, not measured: a relaxed NaHgBi2 crystal at the PBE level of DFT. Values from VASP.

The structure in Quantum ESPRESSO input format:
```
&SYSTEM
  ibrav = 0, nat = 12, ntyp = 3
/
ATOMIC_SPECIES
Na 22.99 Na.upf
Hg 200.59 Hg.upf
Bi 208.98 Bi.upf
CELL_PARAMETERS angstrom
5.536 0.000 0.000
-2.768 4.794 0.000
0.000 0.000 13.490
ATOMIC_POSITIONS crystal
Na 0.000 0.000 0.000
Na 0.333 0.667 0.667
Na 0.667 0.333 0.333
Hg 0.000 0.000 0.753
Hg 0.333 0.667 0.419
Hg 0.667 0.333 0.086
Bi 0.000 0.000 0.247
Bi 0.000 0.000 0.505
Bi 0.333 0.667 0.172
Bi 0.333 0.667 0.914
Bi 0.667 0.333 0.581
Bi 0.667 0.333 0.838
```

Results
Fermi-level density of states: 6.72 states/eV/cell
ΔE_f: -0.103 eV/atom
Calculated density: 8.9 g/cm3
Total magnetization: 0.00 μB/f.u.

(6)
Computed, not measured: a relaxed Ag2AsIr crystal at the PBE level of DFT. Values from VASP.

The structure in Quantum ESPRESSO input format:
```
&SYSTEM
  ibrav = 0, nat = 8, ntyp = 3
/
ATOMIC_SPECIES
Ag 107.87 Ag.upf
As 74.92 As.upf
Ir 192.22 Ir.upf
CELL_PARAMETERS angstrom
2.920 0.000 0.000
0.000 4.917 0.000
0.000 0.000 9.851
ATOMIC_POSITIONS crystal
Ag 0.000 0.000 0.000
Ag 0.000 0.500 0.252
Ag 0.500 0.000 0.252
Ag 0.500 0.500 0.000
As 0.000 0.500 0.707
As 0.500 0.000 0.707
Ir 0.000 0.000 0.501
Ir 0.500 0.500 0.501
```

Results
Fermi-level density of states: 3.05 states/eV/cell
ΔE_f: 0.230 eV/atom
Calculated density: 11.3 g/cm3
Total magnetization: 0.00 μB/f.u.

(7)
Computed, not measured: a relaxed TbLuCdSn crystal at the PBE level of DFT. Values from VASP.

The structure in Quantum ESPRESSO input format:
```
&SYSTEM
  ibrav = 0, nat = 16, ntyp = 4
/
ATOMIC_SPECIES
Tb 158.93 Tb.upf
Lu 174.97 Lu.upf
Cd 112.41 Cd.upf
Sn 118.71 Sn.upf
CELL_PARAMETERS angstrom
7.427 0.000 0.000
0.000 7.427 0.000
0.000 0.000 7.427
ATOMIC_POSITIONS crystal
Tb 0.000 0.000 0.000
Tb 0.000 0.500 0.500
Tb 0.500 0.000 0.500
Tb 0.500 0.500 0.000
Lu 0.000 0.000 0.500
Lu 0.000 0.500 0.000
Lu 0.500 0.000 0.000
Lu 0.500 0.500 0.500
Cd 0.250 0.250 0.750
Cd 0.250 0.750 0.250
Cd 0.750 0.250 0.250
Cd 0.750 0.750 0.750
Sn 0.250 0.250 0.250
Sn 0.250 0.750 0.750
Sn 0.750 0.250 0.750
Sn 0.750 0.750 0.250
```

Results
Fermi-level density of states: 12.77 states/eV/cell
ΔE_f: -0.458 eV/atom
Calculated density: 9.2 g/cm3
Total magnetization: 0.00 μB/f.u.

(8)
Computed, not measured: a relaxed Sc2FePbC crystal at the PBE level of DFT. Values from VASP.

The structure in Quantum ESPRESSO input format:
```
&SYSTEM
  ibrav = 0, nat = 5, ntyp = 4
/
ATOMIC_SPECIES
Sc 44.96 Sc.upf
Fe 55.84 Fe.upf
Pb 207.20 Pb.upf
C 12.01 C.upf
CELL_PARAMETERS angstrom
4.630 0.000 0.000
0.000 4.630 0.000
0.000 0.000 3.913
ATOMIC_POSITIONS crystal
Sc 0.000 0.500 0.000
Sc 0.500 0.000 0.000
Fe 0.000 0.000 0.500
Pb 0.500 0.500 0.500
C 0.000 0.000 0.000
```

Results
Fermi-level density of states: 3.60 states/eV/cell
ΔE_f: -0.342 eV/atom
Calculated density: 7.2 g/cm3
Total magnetization: 2.09 μB/f.u.

(9)
Computed, not measured: a relaxed CdSiAu2 crystal at the PBE level of DFT. Values from VASP.

The structure in Quantum ESPRESSO input format:
```
&SYSTEM
  ibrav = 0, nat = 8, ntyp = 3
/
ATOMIC_SPECIES
Cd 112.41 Cd.upf
Si 28.09 Si.upf
Au 196.97 Au.upf
CELL_PARAMETERS angstrom
4.102 0.000 0.000
0.000 4.102 0.000
0.000 0.000 8.708
ATOMIC_POSITIONS crystal
Cd 0.000 0.000 0.000
Cd 0.500 0.500 0.500
Si 0.000 0.500 0.750
Si 0.500 0.000 0.250
Au 0.000 0.000 0.500
Au 0.000 0.500 0.250
Au 0.500 0.000 0.750
Au 0.500 0.500 0.000
```

Results
Fermi-level density of states: 2.14 states/eV/cell
Calculated density: 12.1 g/cm3
Formation energy from raw total energies: 0.122 eV/atom
Total magnetization: 0.00 μB/f.u.
Energy above the lowest structure with this stoichiometry: 120 meV/atom

(10)
Computed, not measured: a relaxed ScTi6Ge4 crystal at the PBE level of DFT. Values from VASP.

The structure in Quantum ESPRESSO input format:
```
&SYSTEM
  ibrav = 0, nat = 11, ntyp = 3
/
ATOMIC_SPECIES
Sc 44.96 Sc.upf
Ti 47.87 Ti.upf
Ge 72.64 Ge.upf
CELL_PARAMETERS angstrom
-3.350 3.350 4.787
3.350 -3.350 4.787
3.350 3.350 -4.787
ATOMIC_POSITIONS crystal
Sc 0.000 0.000 0.000
Ti 0.000 0.500 0.500
Ti 0.187 0.497 0.000
Ti 0.497 0.187 0.000
Ti 0.500 0.000 0.500
Ti 0.503 0.503 0.689
Ti 0.813 0.813 0.311
Ge 0.171 0.171 0.550
Ge 0.378 0.829 0.000
Ge 0.622 0.622 0.450
Ge 0.829 0.378 0.000
```

Results
Fermi-level density of states: 11.67 states/eV/cell
ΔE_f: -0.225 eV/atom
Calculated density: 4.8 g/cm3
Total magnetization: 3.05 μB/f.u.

(11)
Computed, not measured: a relaxed Sm6YErTm2 crystal at the PBE level of DFT. Values from VASP.

The structure in Quantum ESPRESSO input format:
```
&SYSTEM
  ibrav = 0, nat = 20, ntyp = 4
/
ATOMIC_SPECIES
Sm 150.36 Sm.upf
Y 88.91 Y.upf
Er 167.26 Er.upf
Tm 168.93 Tm.upf
CELL_PARAMETERS angstrom
4.574 -7.600 0.000
4.574 7.600 0.000
-1.193 0.000 9.492
ATOMIC_POSITIONS crystal
Sm 0.013 0.564 0.186
Sm 0.121 0.759 0.554
Sm 0.241 0.879 0.946
Sm 0.291 0.506 0.381
Sm 0.436 0.987 0.314
Sm 0.494 0.709 0.119
Sm 0.506 0.291 0.881
Sm 0.564 0.013 0.686
Sm 0.709 0.494 0.619
Sm 0.759 0.121 0.054
Sm 0.879 0.241 0.446
Sm 0.987 0.436 0.814
Y 0.026 0.974 0.250
Y 0.974 0.026 0.750
Er 0.411 0.589 0.750
Er 0.589 0.411 0.250
Tm 0.200 0.303 0.045
Tm 0.303 0.200 0.545
Tm 0.697 0.800 0.455
Tm 0.800 0.697 0.955
```

Results
Fermi-level density of states: 28.11 states/eV/cell
ΔE_f: 0.117 eV/atom
Calculated density: 7.5 g/cm3
Total magnetization: 0.00 μB/f.u.

(12)
Computed, not measured: a relaxed Tm2Pt2Rh crystal at the PBE level of DFT. Values from VASP.

The structure in Quantum ESPRESSO input format:
```
&SYSTEM
  ibrav = 0, nat = 10, ntyp = 3
/
ATOMIC_SPECIES
Tm 168.93 Tm.upf
Pt 195.08 Pt.upf
Rh 102.91 Rh.upf
CELL_PARAMETERS angstrom
-3.022 6.115 2.788
3.022 -6.115 2.788
3.022 6.115 -2.788
ATOMIC_POSITIONS crystal
Tm 0.162 0.225 0.388
Tm 0.338 0.725 0.063
Tm 0.662 0.275 0.937
Tm 0.838 0.775 0.612
Pt 0.108 0.676 0.784
Pt 0.392 0.176 0.568
Pt 0.608 0.824 0.432
Pt 0.892 0.324 0.216
Rh 0.250 0.250 0.000
Rh 0.750 0.750 0.000
```

Results
Fermi-level density of states: 6.08 states/eV/cell
ΔE_f: -0.918 eV/atom
Calculated density: 13.4 g/cm3
Total magnetization: 0.00 μB/f.u.

- total magnetization of number 9 (CdSiAu2)?
  0.00 μB/f.u.